## TlSiSe (PBE-GGA)

Data for a relaxed structure of TlSiSe.

```
TlSiSe
1.0
-2.4975 4.0710 -1.3735
-4.8839 0.3270 0.8591
-1.7118 3.1456 3.4456
Tl Si Se
1 1 1
Cartesian
-4.5466 3.7718 1.4655
0.0000 0.0000 0.0000
-6.8199 5.6577 2.1983
```

distance to the lowest polymorph of the same formula = 658 meV per atom
VASP energy = -9.7 eV/cell
spin magnetization = 0.00 Bohr magnetons per cell
ρ = 5.96 g/cm3
formation energy (no corrections) = 0.537 eV/atom